[1]
Below is crystalline TcNi2HOs at its relaxed geometry, with properties calculated at the PBE level.

Calculated values
Total magnetization (μB/atom): 0.000
E (eV/atom): -7.125
SG: P4/mmm

Lattice parameters (Å, degrees): 3.7164 3.7164 3.8445 90.00 90.00 90.00
Last column: nearest neighbours and their distance in Å.
Fractional positions:
Tc (0.0000, 0.0000, 0.0000)  4 Os 2.63, 8 Ni 2.67
Ni (0.0000, 0.5000, 0.5000)  2 H 1.86
Ni (0.5000, 0.0000, 0.5000)  2 H 1.86
H (0.5000, 0.5000, 0.5000)  4 Ni 1.86, 2 Os 1.92
Os (0.5000, 0.5000, 0.0000)  2 H 1.92


[2]
Below is crystalline CaGaHgP2 at its relaxed geometry, with properties calculated at the PBE level.

Calculated values
Total magnetization (μB/atom): 0.000
Formation energy (meV/atom): 255
SG: P4/mmm

Lattice parameters (Å, degrees): 4.7491 4.7491 5.6372 90.00 90.00 90.00
Last column: nearest neighbours and their distance in Å.
Fractional positions:
Ca (0.0000, 0.0000, 0.0000)  2 Ga 2.82
Ga (0.0000, 0.0000, 0.5000)  4 P 2.37
Hg (0.5000, 0.5000, 0.0000)  4 Ca 3.36, 8 P 3.69
P (0.0000, 0.5000, 0.5000)  2 Ga 2.37
P (0.5000, 0.0000, 0.5000)  2 Ga 2.37